Version a
Density functional theory data (GGA-PBE) for a relaxed structure of RbYReB.

As for the volume: 106.8 Å³/f.u. Its density of states at the Fermi level is 0.7281 states/eV per atom.

It has space group Cm (No. 8), with a = 6.535 Å, b = 3.774 Å, c = 8.921 Å, α = 90.00°, β = 103.81° and γ = 90.00°. The distinct sites, in fractional coordinates, are Rb at (0.000, 0.000, 0.000), Y at (0.328, 0.500, 0.470), Re at (0.063, 0.500, 0.680) and B at (0.225, 0.000, 0.667).



Version b
Density functional theory data (GGA-PBE) for a relaxed structure of RbYReB.

As for the volume: 117.3 Å³/f.u. Its density of states at the Fermi level is 0.7679 states/eV per atom.

It has space group Cm (No. 8), with a = 14.197 Å, b = 4.502 Å, c = 3.671 Å, α = 90.00°, β = 90.51° and γ = 90.00°. The distinct sites, in fractional coordinates, are Rb at (0.000, 0.000, 0.000), Y at (0.250, 0.500, 0.491), Re at (0.284, 0.000, 0.992) and B at (0.347, 0.000, 0.494).



Energies in meV/atom, measured from the most stable structure: version a 0; version b 186.



Version a
Density functional theory data (GGA-PBE) for a relaxed structure of RbYReB.

As for the volume: 117.3 Å³/f.u. Its density of states at the Fermi level is 0.6762 states/eV per atom.

It has space group Cm (No. 8), with a = 14.648 Å, b = 4.527 Å, c = 3.650 Å, α = 90.00°, β = 104.23° and γ = 90.00°. The distinct sites, in fractional coordinates, are Rb at (0.000, 0.000, 0.000), Y at (0.250, 0.500, 0.253), Re at (0.282, 0.000, 0.785) and B at (0.347, 0.000, 0.348).



Version b
Density functional theory data (GGA-PBE) for a relaxed structure of RbYReB.

As for the volume: 106.9 Å³/f.u. Its density of states at the Fermi level is 0.7389 states/eV per atom.

It has space group R3m (No. 160, hexagonal axes), with a = 3.7723 Å, b = 3.7723 Å, c = 26.0133 Å, α = 90.00°, β = 90.00° and γ = 120.00°. The distinct sites, in fractional coordinates, are Rb at (0.0000, 0.0000, 0.0000), Y at (0.0000, 0.0000, 0.1770), Re at (0.0000, 0.0000, 0.7736) and B at (0.0000, 0.0000, 0.4447).



Energies in meV/atom, measured from the most stable structure: version a 188; version b 0.